[1]
## SrPmCdIn (GGA-PBE)

Data for crystalline SrPmCdIn at its relaxed geometry.

a = 5.582 Å, b = 5.582 Å, c = 5.582 Å
α = 60.00°, β = 60.00°, γ = 60.00°
Atoms (fractional coordinates):
In1 0.250 0.250 0.250
Sr1 0.000 0.000 0.000
Pm1 0.500 0.500 0.500
Cd1 0.750 0.750 0.750

Output
Energy relative to the elements in meV per atom: -374
Energy in eV per atom: -2.895
DOS at the Fermi energy in states/eV/cell: 2.58

***

[2]
## TbPmCdIn (GGA-PBE)

Data for crystalline TbPmCdIn at its relaxed geometry.

a = 5.382 Å, b = 5.382 Å, c = 5.382 Å
α = 60.00°, β = 60.00°, γ = 60.00°
Atoms (fractional coordinates):
Tb1 0.500 0.500 0.500
Cd1 0.750 0.750 0.750
Pm1 0.000 0.000 0.000
In1 0.250 0.250 0.250

Output
Energy relative to the elements in meV per atom: -415
Energy in eV per atom: -3.674
DOS at the Fermi energy in states/eV/cell: 4.23

***

[3]
## TbPm2Cd2In2 (GGA-PBE)

Data for crystalline TbPm2Cd2In2 at its relaxed geometry.

a = 4.960 Å, b = 4.960 Å, c = 9.585 Å
α = 75.00°, β = 75.00°, γ = 60.00°
Atoms (fractional coordinates):
Cd1 0.394 0.394 0.818
Cd2 0.606 0.606 0.182
In1 0.738 0.738 0.787
In2 0.262 0.262 0.213
Pm1 0.872 0.872 0.383
Pm2 0.128 0.128 0.617
Tb1 0.000 0.000 0.000

Output
Energy relative to the elements in meV per atom: -277
Energy in eV per atom: -3.340
DOS at the Fermi energy in states/eV/cell: 4.28

***

[4]
## Pm2ThCd2In2 (GGA-PBE)

Data for crystalline Pm2ThCd2In2 at its relaxed geometry.

a = 5.021 Å, b = 5.021 Å, c = 9.523 Å
α = 74.71°, β = 74.71°, γ = 60.00°
Atoms (fractional coordinates):
In1 0.736 0.736 0.793
In2 0.264 0.264 0.207
Th1 0.000 0.000 0.000
Pm1 0.129 0.129 0.614
Pm2 0.871 0.871 0.386
Cd1 0.597 0.597 0.208
Cd2 0.403 0.403 0.792

Output
Energy relative to the elements in meV per atom: -201
Energy in eV per atom: -3.662
DOS at the Fermi energy in states/eV/cell: 5.31

***

[5]
## Pm4Tl2CdIn (GGA-PBE)

Data for crystalline Pm4Tl2CdIn at its relaxed geometry.

a = 5.463 Å, b = 5.463 Å, c = 9.464 Å
α = 73.22°, β = 73.22°, γ = 60.00°
Atoms (fractional coordinates):
Pm1 0.625 0.625 0.126
Pm2 0.125 0.125 0.625
Pm3 0.875 0.875 0.375
Pm4 0.375 0.375 0.874
Tl1 0.253 0.253 0.242
Tl2 0.747 0.747 0.758
In1 0.500 0.500 0.500
Cd1 0.000 0.000 0.000

Output
Energy relative to the elements in meV per atom: -402
Energy in eV per atom: -3.825
DOS at the Fermi energy in states/eV/cell: 9.03

***

[6]
## Pm4TlCd2In (GGA-PBE)

Data for crystalline Pm4TlCd2In at its relaxed geometry.

a = 5.449 Å, b = 5.449 Å, c = 9.441 Å
α = 73.23°, β = 73.23°, γ = 60.00°
Atoms (fractional coordinates):
Pm1 0.125 0.125 0.624
Pm2 0.375 0.375 0.874
Pm3 0.625 0.625 0.126
Pm4 0.875 0.875 0.376
Cd1 0.249 0.249 0.253
Cd2 0.751 0.751 0.747
In1 0.500 0.500 0.500
Tl1 0.000 0.000 0.000

Output
Energy relative to the elements in meV per atom: -391
Energy in eV per atom: -3.634
DOS at the Fermi energy in states/eV/cell: 10.38

***

[7]
## Pm4TlCdIn2 (GGA-PBE)

Data for crystalline Pm4TlCdIn2 at its relaxed geometry.

a = 5.454 Å, b = 5.454 Å, c = 9.450 Å
α = 73.23°, β = 73.23°, γ = 60.00°
Atoms (fractional coordinates):
Pm1 0.375 0.375 0.874
Pm2 0.625 0.625 0.126
Pm3 0.125 0.125 0.624
Pm4 0.875 0.875 0.376
In1 0.752 0.752 0.744
In2 0.248 0.248 0.256
Tl1 0.000 0.000 0.000
Cd1 0.500 0.500 0.500

Output
Energy relative to the elements in meV per atom: -431
Energy in eV per atom: -3.901
DOS at the Fermi energy in states/eV/cell: 8.07

***

[8]
## PmTmCdIn (GGA-PBE)

Data for crystalline PmTmCdIn at its relaxed geometry.

a = 5.338 Å, b = 5.338 Å, c = 5.338 Å
α = 60.00°, β = 60.00°, γ = 60.00°
Atoms (fractional coordinates):
Tm1 0.500 0.500 0.500
In1 0.250 0.250 0.250
Pm1 0.000 0.000 0.000
Cd1 0.750 0.750 0.750

Output
Energy relative to the elements in meV per atom: -396
Energy in eV per atom: -3.615
DOS at the Fermi energy in states/eV/cell: 4.00

***

[9]
## Pm2TmCd2In2 (GGA-PBE)

Data for crystalline Pm2TmCd2In2 at its relaxed geometry.

a = 4.945 Å, b = 4.945 Å, c = 9.548 Å
α = 74.99°, β = 74.99°, γ = 60.00°
Atoms (fractional coordinates):
In1 0.737 0.737 0.788
In2 0.263 0.263 0.212
Tm1 0.000 0.000 0.000
Cd1 0.391 0.391 0.826
Cd2 0.609 0.609 0.174
Pm1 0.873 0.873 0.381
Pm2 0.127 0.127 0.619

Output
Energy relative to the elements in meV per atom: -254
Energy in eV per atom: -3.294
DOS at the Fermi energy in states/eV/cell: 4.53

***

[10]
## PmTm2Cd2In2 (GGA-PBE)

Data for crystalline PmTm2Cd2In2 at its relaxed geometry.

a = 4.950 Å, b = 4.950 Å, c = 9.351 Å
α = 74.65°, β = 74.65°, γ = 60.00°
Atoms (fractional coordinates):
Cd1 0.403 0.403 0.792
Cd2 0.597 0.597 0.208
Pm1 0.000 0.000 0.000
Tm1 0.129 0.129 0.612
Tm2 0.871 0.871 0.388
In1 0.743 0.743 0.770
In2 0.257 0.257 0.230

Output
Energy relative to the elements in meV per atom: -251
Energy in eV per atom: -3.251
DOS at the Fermi energy in states/eV/cell: 3.99

***

[11]
## PmYCdIn (GGA-PBE)

Data for crystalline PmYCdIn at its relaxed geometry.

a = 5.375 Å, b = 5.375 Å, c = 5.375 Å
α = 60.00°, β = 60.00°, γ = 60.00°
Atoms (fractional coordinates):
Y1 0.000 0.000 0.000
In1 0.750 0.750 0.750
Cd1 0.250 0.250 0.250
Pm1 0.500 0.500 0.500

Output
Energy relative to the elements in meV per atom: -432
Energy in eV per atom: -4.149
DOS at the Fermi energy in states/eV/cell: 4.05

***

[12]
## PmZnCdIn (GGA-PBE)

Data for crystalline PmZnCdIn at its relaxed geometry.

a = 5.103 Å, b = 5.103 Å, c = 5.103 Å
α = 60.00°, β = 60.00°, γ = 60.00°
Atoms (fractional coordinates):
In1 0.000 0.000 0.000
Cd1 0.750 0.750 0.750
Pm1 0.250 0.250 0.250
Zn1 0.500 0.500 0.500

Output
Energy relative to the elements in meV per atom: -267
Energy in eV per atom: -2.687
DOS at the Fermi energy in states/eV/cell: 1.44

***

[13]
## PmZrCdIn (GGA-PBE)

Data for crystalline PmZrCdIn at its relaxed geometry.

a = 5.204 Å, b = 5.204 Å, c = 5.204 Å
α = 60.00°, β = 60.00°, γ = 60.00°
Atoms (fractional coordinates):
Cd1 0.750 0.750 0.750
Zr1 0.000 0.000 0.000
Pm1 0.500 0.500 0.500
In1 0.250 0.250 0.250

Output
Energy relative to the elements in meV per atom: -237
Energy in eV per atom: -4.475
DOS at the Fermi energy in states/eV/cell: 1.57

***

[14]
## Pr2CdIn8 (GGA-PBE)

Data for crystalline Pr2CdIn8 at its relaxed geometry.

a = 4.910 Å, b = 4.910 Å, c = 12.394 Å
α = 90.00°, β = 90.00°, γ = 90.00°
Atoms (fractional coordinates):
In1 0.000 0.500 0.866
In2 0.500 0.000 0.500
In3 0.500 0.500 0.687
In4 0.000 0.500 0.134
In5 0.500 0.000 0.134
In6 0.500 0.500 0.313
In7 0.500 0.000 0.866
In8 0.000 0.500 0.500
Cd1 0.000 0.000 0.000
Pr1 0.000 0.000 0.313
Pr2 0.000 0.000 0.687

Output
Energy relative to the elements in meV per atom: -296
Energy in eV per atom: -3.239
DOS at the Fermi energy in states/eV/cell: 3.70

***

[15]
## Pr4CdIn (GGA-PBE)

Data for crystalline Pr4CdIn at its relaxed geometry.

a = 3.838 Å, b = 7.037 Å, c = 8.902 Å
α = 115.79°, β = 77.55°, γ = 74.18°
Each line ends with the local moment (μB).
Atoms (fractional coordinates):
Pr1 0.676 0.977 0.672  -0.09
Pr2 0.324 0.023 0.328  -0.09
Pr3 0.829 0.516 0.825  -0.09
Pr4 0.171 0.484 0.175  -0.09
Cd1 0.500 0.500 0.500  0.00
In1 0.000 0.000 0.000  0.00

Output
Energy relative to the elements in meV per atom: -241
Energy in eV per atom: -4.036
DOS at the Fermi energy in states/eV/cell: 7.69

***

[16]
## Pr2Cd3In2 (GGA-PBE)

Data for crystalline Pr2Cd3In2 at its relaxed geometry.

a = 4.834 Å, b = 6.227 Å, c = 7.241 Å
α = 109.80°, β = 90.00°, γ = 112.84°
Atoms (fractional coordinates):
Cd1 0.598 0.195 0.429
Cd2 0.402 0.805 0.571
Cd3 0.500 0.000 0.000
In1 0.150 0.300 0.237
In2 0.850 0.700 0.763
Pr1 0.849 0.697 0.235
Pr2 0.151 0.303 0.765

Output
Energy relative to the elements in meV per atom: -363
Energy in eV per atom: -2.903
DOS at the Fermi energy in states/eV/cell: 4.42

***

[17]
## Pr3Cd2In (GGA-PBE)

Data for crystalline Pr3Cd2In at its relaxed geometry.

a = 3.890 Å, b = 5.498 Å, c = 8.721 Å
α = 108.38°, β = 90.00°, γ = 90.00°
Atoms (fractional coordinates):
Pr1 0.500 0.166 0.332
Pr2 0.500 0.500 0.000
Pr3 0.500 0.834 0.668
In1 0.000 0.000 0.000
Cd1 0.000 0.331 0.663
Cd2 0.000 0.669 0.337

Output
Energy relative to the elements in meV per atom: -373
Energy in eV per atom: -3.524
DOS at the Fermi energy in states/eV/cell: 8.92

***

[18]
## Pr2Cd3In3 (GGA-PBE)

Data for crystalline Pr2Cd3In3 at its relaxed geometry.

a = 4.770 Å, b = 4.700 Å, c = 9.319 Å
α = 90.00°, β = 90.00°, γ = 90.00°
Atoms (fractional coordinates):
In1 0.000 0.500 0.500
In2 0.000 0.500 0.000
In3 0.500 0.000 0.500
Pr1 0.000 0.000 0.251
Pr2 0.000 0.000 0.749
Cd1 0.500 0.000 0.000
Cd2 0.500 0.500 0.247
Cd3 0.500 0.500 0.753

Output
Energy relative to the elements in meV per atom: -389
Energy in eV per atom: -2.954
DOS at the Fermi energy in states/eV/cell: 3.86

***

[19]
## PrCd3In2 (GGA-PBE)

Data for crystalline PrCd3In2 at its relaxed geometry.

a = 4.778 Å, b = 9.919 Å, c = 7.581 Å
α = 118.73°, β = 90.00°, γ = 103.94°
Atoms (fractional coordinates):
In1 0.525 0.049 0.212
In2 0.761 0.522 0.188
In3 0.239 0.478 0.812
In4 0.475 0.951 0.788
Cd1 0.375 0.751 0.248
Cd2 0.299 0.598 0.515
Cd3 0.701 0.402 0.485
Cd4 0.067 0.134 0.461
Cd5 0.625 0.249 0.752
Cd6 0.933 0.866 0.539
Pr1 0.114 0.228 0.048
Pr2 0.886 0.772 0.952

Output
Energy relative to the elements in meV per atom: -240
Energy in eV per atom: -2.407
DOS at the Fermi energy in states/eV/cell: 4.28

***

[20]
## Pr3Cd3In2 (GGA-PBE)

Data for crystalline Pr3Cd3In2 at its relaxed geometry.

a = 4.860 Å, b = 6.288 Å, c = 16.094 Å
α = 90.00°, β = 90.00°, γ = 112.74°
Atoms (fractional coordinates):
Cd1 0.641 0.282 0.750
Cd2 0.615 0.231 0.465
Cd3 0.359 0.718 0.250
Cd4 0.385 0.769 0.965
Cd5 0.615 0.231 0.035
Cd6 0.385 0.769 0.535
Pr1 0.912 0.825 0.109
Pr2 0.088 0.175 0.609
Pr3 0.360 0.720 0.750
Pr4 0.640 0.280 0.250
Pr5 0.088 0.175 0.891
Pr6 0.912 0.825 0.391
In1 0.205 0.410 0.394
In2 0.795 0.590 0.894
In3 0.795 0.590 0.606
In4 0.205 0.410 0.106

Output
Energy relative to the elements in meV per atom: -376
Energy in eV per atom: -3.196
DOS at the Fermi energy in states/eV/cell: 12.85